Below is an optimized crystal structure of InCuAu6, with properties calculated at the PBE level.

Output
crystal system	orthorhombic
space group	Amm2
calculated volume	17.96	Å³/atom

a b c (Å): 4.2406 7.9045 5.8305
angles (deg): 132.68 90.00 90.00
Atoms (fractional coordinates):
1 Cu 0.5000 0.6089 0.2179
2 Au 0.0000 0.8505 0.2593
3 Au 0.5000 0.1251 0.2503
4 In 0.0000 0.8916 0.7831
5 Au 0.0000 0.3656 0.7312
6 Au 0.5000 0.1244 0.7495
7 Au 0.5000 0.6251 0.7495
8 Au 0.0000 0.4088 0.2593


Below is an optimized crystal structure of InCuAu4, with properties calculated at the PBE level.

Output
crystal system	cubic
space group	F-43m
calculated volume	19.94	Å³/atom

a b c (Å): 5.5306 5.5306 5.5306
angles (deg): 60.00 60.00 60.00
Atoms (fractional coordinates):
1 Cu 0.7500 0.7500 0.7500
2 Au 0.8740 0.3753 0.3753
3 Au 0.3753 0.3753 0.8740
4 Au 0.3753 0.3753 0.3753
5 In 0.0000 0.0000 0.0000
6 Au 0.3753 0.8740 0.3753


| no. | energy above the lowest structure with this stoichiometry (meV/atom) | total magnetic moment (μB per cell) | energy of formation from the pure elements (kJ per mole of atoms) |
| --- | --- | --- | --- |
| 1 | 5 | 0.00 | -5 |
| 2 | 149 | 0.00 | 11 |